Entry 1
{
  "formula": "Zn3PdSe",
  "functional": "PBE-GGA",
  "state": "optimized geometry",
  "spacegroup": "Pm-3m",
  "lattice_angstrom": [[4.850, 0.000, 0.000], [0.000, 4.850, 0.000], [0.000, 0.000, 4.850]],
  "species": ["Zn", "Zn", "Zn", "Pd", "Se"],
  "frac_coords": [[0.000, 0.000, 0.500], [0.000, 0.500, 0.000], [0.500, 0.000, 0.000], [0.500, 0.500, 0.500], [0.000, 0.000, 0.000]]
}

=====

Entry 2
{
  "formula": "Zn3PdSe",
  "functional": "PBE-GGA",
  "state": "optimized geometry",
  "spacegroup": "Pm-3m",
  "lattice_angstrom": [[4.797, 0.000, 0.000], [0.000, 4.797, 0.000], [0.000, 0.000, 4.797]],
  "species": ["Zn", "Zn", "Zn", "Pd", "Se"],
  "frac_coords": [[0.000, 0.000, 0.500], [0.000, 0.500, 0.000], [0.500, 0.000, 0.000], [0.000, 0.000, 0.000], [0.500, 0.500, 0.500]]
}

=====

Relative energies, meV/atom: entry 1 465; entry 2 0.

=====

Entry 1
{
  "formula": "Zn2PdSe2",
  "functional": "PBE-GGA",
  "state": "optimized geometry",
  "spacegroup": "P4/mbm",
  "lattice_angstrom": [[7.228, 0.000, 0.000], [0.000, 7.228, 0.000], [0.000, 0.000, 3.810]],
  "species": ["Zn", "Zn", "Zn", "Zn", "Pd", "Pd", "Se", "Se", "Se", "Se"],
  "frac_coords": [[0.124, 0.376, 0.000], [0.376, 0.876, 0.000], [0.624, 0.124, 0.000], [0.876, 0.624, 0.000], [0.000, 0.000, 0.500], [0.500, 0.500, 0.500], [0.215, 0.715, 0.500], [0.285, 0.215, 0.500], [0.715, 0.785, 0.500], [0.785, 0.285, 0.500]]
}

=====

Entry 2
{
  "formula": "Zn2PdSe2",
  "functional": "PBE-GGA",
  "state": "optimized geometry",
  "spacegroup": "I4/mmm",
  "lattice_angstrom": [[3.904, 0.000, 0.000], [0.000, 3.904, 0.000], [0.000, 0.000, 13.066]],
  "species": ["Zn", "Zn", "Zn", "Zn", "Pd", "Pd", "Se", "Se", "Se", "Se"],
  "frac_coords": [[0.000, 0.500, 0.250], [0.000, 0.500, 0.750], [0.500, 0.000, 0.250], [0.500, 0.000, 0.750], [0.000, 0.000, 0.000], [0.500, 0.500, 0.500], [0.000, 0.000, 0.376], [0.000, 0.000, 0.624], [0.500, 0.500, 0.124], [0.500, 0.500, 0.876]]
}

=====

Relative energies, meV/atom: entry 1 0; entry 2 138.

=====

Entry 1
{
  "formula": "ZnPd4Se",
  "functional": "PBE-GGA",
  "state": "optimized geometry",
  "spacegroup": "I4_1md",
  "lattice_angstrom": [[-3.839, 3.839, 4.016], [3.839, -3.839, 4.016], [3.839, 3.839, -4.016]],
  "species": ["Zn", "Zn", "Pd", "Pd", "Pd", "Pd", "Pd", "Pd", "Pd", "Pd", "Se", "Se"],
  "frac_coords": [[0.000, 0.000, 0.000], [0.750, 0.250, 0.500], [0.007, 0.322, 0.315], [0.007, 0.691, 0.685], [0.072, 0.257, 0.815], [0.441, 0.257, 0.185], [0.495, 0.180, 0.686], [0.495, 0.809, 0.314], [0.559, 0.745, 0.814], [0.930, 0.745, 0.186], [0.252, 0.752, 0.500], [0.502, 0.502, 0.000]]
}

=====

Entry 2
{
  "formula": "ZnPd4Se",
  "functional": "PBE-GGA",
  "state": "optimized geometry",
  "spacegroup": "Pnma",
  "lattice_angstrom": [[6.926, 0.000, 0.000], [0.000, 3.298, 0.000], [0.000, 0.000, 16.658]],
  "species": ["Zn", "Zn", "Zn", "Zn", "Pd", "Pd", "Pd", "Pd", "Pd", "Pd", "Pd", "Pd", "Pd", "Pd", "Pd", "Pd", "Pd", "Pd", "Pd", "Pd", "Se", "Se", "Se", "Se"],
  "frac_coords": [[0.189, 0.250, 0.194], [0.311, 0.750, 0.694], [0.689, 0.250, 0.306], [0.811, 0.750, 0.806], [0.048, 0.750, 0.931], [0.061, 0.250, 0.338], [0.107, 0.250, 0.785], [0.214, 0.250, 0.578], [0.286, 0.750, 0.078], [0.393, 0.750, 0.285], [0.439, 0.750, 0.838], [0.452, 0.250, 0.431], [0.548, 0.750, 0.569], [0.561, 0.250, 0.162], [0.607, 0.250, 0.715], [0.714, 0.250, 0.922], [0.786, 0.750, 0.422], [0.893, 0.750, 0.215], [0.939, 0.750, 0.662], [0.952, 0.250, 0.069], [0.182, 0.750, 0.443], [0.318, 0.250, 0.943], [0.682, 0.750, 0.057], [0.818, 0.250, 0.557]]
}

=====

Relative energies, meV/atom: entry 1 395; entry 2 0.

=====

Entry 1
{
  "formula": "ZrPdSe3",
  "functional": "PBE-GGA",
  "state": "optimized geometry",
  "spacegroup": "C2/m",
  "lattice_angstrom": [[7.273, -1.942, 0.000], [7.273, 1.942, 0.000], [-0.139, 0.000, 7.737]],
  "species": ["Zr", "Zr", "Pd", "Pd", "Se", "Se", "Se", "Se", "Se", "Se"],
  "frac_coords": [[0.212, 0.212, 0.228], [0.788, 0.788, 0.772], [0.434, 0.434, 0.350], [0.566, 0.566, 0.650], [0.022, 0.022, 0.232], [0.176, 0.176, 0.583], [0.349, 0.349, 0.981], [0.651, 0.651, 0.019], [0.824, 0.824, 0.417], [0.978, 0.978, 0.768]]
}

=====

Entry 2
{
  "formula": "ZrPdSe3",
  "functional": "PBE-GGA",
  "state": "optimized geometry",
  "spacegroup": "Pm-3m",
  "lattice_angstrom": [[4.866, 0.000, 0.000], [0.000, 4.866, 0.000], [0.000, 0.000, 4.866]],
  "species": ["Zr", "Pd", "Se", "Se", "Se"],
  "frac_coords": [[0.000, 0.000, 0.000], [0.500, 0.500, 0.500], [0.000, 0.500, 0.500], [0.500, 0.000, 0.500], [0.500, 0.500, 0.000]]
}

=====

Entry 3
{
  "formula": "ZrPdSe3",
  "functional": "PBE-GGA",
  "state": "optimized geometry",
  "spacegroup": "Pm-3m",
  "lattice_angstrom": [[5.188, 0.000, 0.000], [0.000, 5.188, 0.000], [0.000, 0.000, 5.188]],
  "species": ["Zr", "Pd", "Se", "Se", "Se"],
  "frac_coords": [[0.000, 0.000, 0.000], [0.500, 0.500, 0.500], [0.000, 0.000, 0.500], [0.000, 0.500, 0.000], [0.500, 0.000, 0.000]]
}

=====

Relative energies, meV/atom: entry 1 0; entry 2 802; entry 3 684.

=====

Entry 1
{
  "formula": "ZrPd3Se",
  "functional": "PBE-GGA",
  "state": "optimized geometry",
  "spacegroup": "Pm-3m",
  "lattice_angstrom": [[4.668, 0.000, 0.000], [0.000, 4.668, 0.000], [0.000, 0.000, 4.668]],
  "species": ["Zr", "Pd", "Pd", "Pd", "Se"],
  "frac_coords": [[0.000, 0.000, 0.000], [0.000, 0.500, 0.500], [0.500, 0.000, 0.500], [0.500, 0.500, 0.000], [0.500, 0.500, 0.500]]
}

=====

Entry 2
{
  "formula": "ZrPd3Se",
  "functional": "PBE-GGA",
  "state": "optimized geometry",
  "spacegroup": "Pm-3m",
  "lattice_angstrom": [[4.927, 0.000, 0.000], [0.000, 4.927, 0.000], [0.000, 0.000, 4.927]],
  "species": ["Zr", "Pd", "Pd", "Pd", "Se"],
  "frac_coords": [[0.000, 0.000, 0.000], [0.000, 0.000, 0.500], [0.000, 0.500, 0.000], [0.500, 0.000, 0.000], [0.500, 0.500, 0.500]]
}

=====

Relative energies, meV/atom: entry 1 0; entry 2 640.

=====

Entry 1
{
  "formula": "SiPd4",
  "functional": "PBE-GGA",
  "state": "optimized geometry",
  "spacegroup": "Fdd2",
  "lattice_angstrom": [[0.000, 5.396, 3.046], [4.754, 0.000, 3.046], [4.754, 5.396, 0.000]],
  "species": ["Si", "Si", "Pd", "Pd", "Pd", "Pd", "Pd", "Pd", "Pd", "Pd"],
  "frac_coords": [[0.000, 0.000, 0.000], [0.250, 0.250, 0.250], [0.309, 0.394, 0.465], [0.394, 0.309, 0.832], [0.418, 0.785, 0.856], [0.471, 0.864, 0.407], [0.785, 0.418, 0.941], [0.843, 0.991, 0.779], [0.864, 0.471, 0.259], [0.991, 0.843, 0.386]]
}

=====

Entry 2
{
  "formula": "SiPd4",
  "functional": "PBE-GGA",
  "state": "optimized geometry",
  "spacegroup": "Cmmm",
  "lattice_angstrom": [[4.025, 0.000, 0.000], [0.000, 9.897, 0.000], [0.000, 0.000, 3.913]],
  "species": ["Si", "Si", "Pd", "Pd", "Pd", "Pd", "Pd", "Pd", "Pd", "Pd"],
  "frac_coords": [[0.000, 0.000, 0.000], [0.500, 0.500, 0.000], [0.000, 0.145, 0.500], [0.000, 0.357, 0.000], [0.000, 0.643, 0.000], [0.000, 0.855, 0.500], [0.500, 0.143, 0.000], [0.500, 0.355, 0.500], [0.500, 0.645, 0.500], [0.500, 0.857, 0.000]]
}

=====

Relative energies, meV/atom: entry 1 56; entry 2 0.

=====

Entry 1
{
  "formula": "SiPd4",
  "functional": "PBE-GGA",
  "state": "optimized geometry",
  "spacegroup": "R-3m",
  "lattice_angstrom": [[2.853, 0.000, 0.000], [-1.427, 2.471, 0.000], [0.000, 0.000, 31.815]],
  "species": ["Si", "Si", "Si", "Pd", "Pd", "Pd", "Pd", "Pd", "Pd", "Pd", "Pd", "Pd", "Pd", "Pd", "Pd"],
  "frac_coords": [[0.000, 0.000, 0.000], [0.333, 0.667, 0.667], [0.667, 0.333, 0.333], [0.000, 0.000, 0.203], [0.000, 0.000, 0.391], [0.000, 0.000, 0.609], [0.000, 0.000, 0.797], [0.333, 0.667, 0.057], [0.333, 0.667, 0.276], [0.333, 0.667, 0.464], [0.333, 0.667, 0.869], [0.667, 0.333, 0.131], [0.667, 0.333, 0.536], [0.667, 0.333, 0.724], [0.667, 0.333, 0.943]]
}

=====

Entry 2
{
  "formula": "SiPd4",
  "functional": "PBE-GGA",
  "state": "optimized geometry",
  "spacegroup": "Pm-3m",
  "lattice_angstrom": [[4.473, 0.000, 0.000], [0.000, 4.473, 0.000], [0.000, 0.000, 4.473]],
  "species": ["Si", "Pd", "Pd", "Pd", "Pd"],
  "frac_coords": [[0.000, 0.000, 0.000], [0.000, 0.000, 0.500], [0.000, 0.500, 0.000], [0.500, 0.000, 0.000], [0.500, 0.500, 0.500]]
}

=====

Relative energies, meV/atom: entry 1 0; entry 2 381.

=====

Entry 1
{
  "formula": "SmSi3Pd3",
  "functional": "PBE-GGA",
  "state": "optimized geometry",
  "spacegroup": "P6_3/m",
  "lattice_angstrom": [[8.900, 0.000, 0.000], [-4.450, 7.708, 0.000], [0.000, 0.000, 4.198]],
  "species": ["Sm", "Sm", "Si", "Si", "Si", "Si", "Si", "Si", "Pd", "Pd", "Pd", "Pd", "Pd", "Pd"],
  "frac_coords": [[0.333, 0.667, 0.250], [0.667, 0.333, 0.750], [0.053, 0.626, 0.750], [0.374, 0.428, 0.750], [0.428, 0.053, 0.250], [0.572, 0.947, 0.750], [0.626, 0.572, 0.250], [0.947, 0.374, 0.250], [0.082, 0.369, 0.750], [0.287, 0.918, 0.750], [0.369, 0.287, 0.250], [0.631, 0.713, 0.750], [0.713, 0.082, 0.250], [0.918, 0.631, 0.250]]
}

=====

Entry 2
{
  "formula": "SmSi3Pd3",
  "functional": "PBE-GGA",
  "state": "optimized geometry",
  "spacegroup": "Pm-3n",
  "lattice_angstrom": [[6.588, 0.000, 0.000], [0.000, 6.588, 0.000], [0.000, 0.000, 6.588]],
  "species": ["Sm", "Sm", "Si", "Si", "Si", "Si", "Si", "Si", "Pd", "Pd", "Pd", "Pd", "Pd", "Pd"],
  "frac_coords": [[0.000, 0.000, 0.000], [0.500, 0.500, 0.500], [0.000, 0.250, 0.500], [0.000, 0.750, 0.500], [0.250, 0.500, 0.000], [0.500, 0.000, 0.250], [0.500, 0.000, 0.750], [0.750, 0.500, 0.000], [0.000, 0.500, 0.250], [0.000, 0.500, 0.750], [0.250, 0.000, 0.500], [0.500, 0.250, 0.000], [0.500, 0.750, 0.000], [0.750, 0.000, 0.500]]
}

=====

Relative energies, meV/atom: entry 1 0; entry 2 147.